[1]
VASP calculation (GGA-PBE) on crystalline ScCo2Re at its relaxed geometry.

a = 9.305 Å, b = 2.702 Å, c = 4.477 Å
α = 90.00°, β = 104.60°, γ = 90.00°
Space group Cm (No. 8)
One atom of each set of equivalent atoms:
Sc 0.000 0.000 0.000 x2
Co 0.263 0.500 0.167 x2
Co 0.479 0.000 0.502 x2
Re 0.217 0.000 0.634 x2

Its density of states at the Fermi level is 1.098 states/eV/atom. The density comes out at 10.64 g cm⁻³. For the energy relative to the lowest polymorph listed for this composition, the calculation gives 78 meV/atom. As for the energy relative to the elements: -0.003 eV/atom. The spin magnetization is 0.00 μB per formula unit. The calculation puts the volume at 13.61 Å³/atom.



[2]
VASP calculation (GGA-PBE) on crystalline MgCuTcSnOsC at its relaxed geometry.

a = 4.339 Å, b = 5.314 Å, c = 5.328 Å
α = 65.37°, β = 89.99°, γ = 66.03°
Space group P1 (No. 1)
One atom of each set of equivalent atoms:
Mg 0.000 0.000 0.000 x1
Cu 0.334 0.330 0.389 x1
Tc 0.693 0.613 0.014 x1
Sn 0.647 0.707 0.471 x1
Os 0.276 0.448 0.846 x1
C 0.472 0.056 0.853 x1

Its density of states at the Fermi level is 0.411 states/eV/atom. The density comes out at 8.42 g cm⁻³. For the energy relative to the lowest polymorph listed for this composition, the calculation gives 78 meV/atom. As for the energy relative to the elements: 0.303 eV/atom. The spin magnetization is 0.00 μB per formula unit. The calculation puts the volume at 16.65 Å³/atom.



[3]
VASP calculation (GGA-PBE) on crystalline ErZr at its relaxed geometry.

a = 3.3905 Å, b = 3.3905 Å, c = 5.3146 Å
α = 90.00°, β = 90.00°, γ = 120.00°
Space group P-6m2 (No. 187)
One atom of each set of equivalent atoms:
Er 0.0000 0.0000 0.0000 x1
Zr 0.6667 0.3333 0.5000 x1

Its density of states at the Fermi level is 1.706 states/eV/atom. The density comes out at 8.11 g cm⁻³. As for the energy relative to the elements: 0.073 eV/atom. The spin magnetization is 0.00 μB per formula unit. The calculation puts the volume at 26.45 Å³/atom.



[4]
VASP calculation (GGA-PBE) on crystalline Tb2PuAu6 at its relaxed geometry.

a = 15.111 Å, b = 7.778 Å, c = 3.576 Å
α = 90.00°, β = 103.60°, γ = 90.00°
Space group C2/m (No. 12)
One atom of each set of equivalent atoms:
Tb 0.142 0.000 0.141 x4
Pu 0.000 0.500 0.000 x2
Au 0.000 0.181 0.500 x4
Au 0.176 0.316 0.674 x8

Its density of states at the Fermi level is 1.648 states/eV/atom. The density comes out at 14.17 g cm⁻³. As for the energy relative to the elements: -0.632 eV/atom. The spin magnetization is 5.73 μB per formula unit. The calculation puts the volume at 22.70 Å³/atom.



[5]
VASP calculation (GGA-PBE) on crystalline Cs2LiSnBr5 at its relaxed geometry.

a = 4.610 Å, b = 20.778 Å, c = 14.831 Å
α = 90.00°, β = 90.00°, γ = 90.00°
Space group Cmc2_1 (No. 36)
One atom of each set of equivalent atoms:
Cs 0.000 0.105 0.000 x4
Cs 0.000 0.126 0.631 x4
Li 0.000 0.436 0.761 x4
Sn 0.000 0.206 0.339 x4
Br 0.000 0.058 0.346 x4
Br 0.000 0.286 0.974 x4
Br 0.000 0.313 0.704 x4
Br 0.000 0.344 0.320 x4
Br 0.000 0.496 0.617 x4

Its density of states at the Fermi level is 0.000 states/eV/atom. Its uncorrected formation energy is -1.41 eV/atom. The density comes out at 3.70 g cm⁻³. The spin magnetization is 0.00 μB per formula unit. The calculation puts the volume at 39.47 Å³/atom.



[6]
VASP calculation (GGA-PBE) on crystalline CsCrSeN2 at its relaxed geometry.

a = 4.289 Å, b = 4.289 Å, c = 7.029 Å
α = 90.00°, β = 90.00°, γ = 90.00°
Space group P4/mmm (No. 123)
One atom of each set of equivalent atoms:
Cs 0.000 0.000 0.000 x1
Cr 0.500 0.500 0.500 x1
Se 0.000 0.000 0.500 x1
N 0.000 0.500 0.000 x2

Its density of states at the Fermi level is 0.914 states/eV/atom. Its uncorrected formation energy is 2.37 eV/atom. The density comes out at 3.75 g cm⁻³. For the energy relative to the lowest polymorph listed for this composition, the calculation gives 1602 meV/atom. The spin magnetization is 6.06 μB per formula unit. The calculation puts the volume at 25.86 Å³/atom.



[7]
VASP calculation (GGA-PBE) on crystalline Mg2FeH at its relaxed geometry.

a = 6.215 Å, b = 6.215 Å, c = 5.862 Å
α = 90.00°, β = 90.00°, γ = 90.00°
Space group I-42d (No. 122)
One atom of each set of equivalent atoms:
Mg 0.166 0.750 0.125 x8
Fe 0.000 0.000 0.500 x4
H 0.000 0.000 0.000 x4

Its density of states at the Fermi level is 0.968 states/eV/atom. The density comes out at 3.09 g cm⁻³. For the energy relative to the lowest polymorph listed for this composition, the calculation gives 0 meV/atom. The spin magnetization is 2.39 μB per formula unit. The calculation puts the volume at 14.15 Å³/atom.



[8]
VASP calculation (GGA-PBE) on crystalline LiTm2Re at its relaxed geometry.

a = 3.0520 Å, b = 3.0520 Å, c = 33.4035 Å
α = 90.00°, β = 90.00°, γ = 120.00°
Space group R-3m (No. 166, hexagonal axes)
One atom of each set of equivalent atoms:
Li 0.0000 0.0000 0.0000 x3
Tm 0.0000 0.0000 0.4187 x6
Re 0.0000 0.0000 0.5000 x3

Its density of states at the Fermi level is 1.020 states/eV/atom. The density comes out at 9.82 g cm⁻³. As for the energy relative to the elements: 0.723 eV/atom. The spin magnetization is 0.00 μB per formula unit. The calculation puts the volume at 22.45 Å³/atom.



[9]
VASP calculation (GGA-PBE) on crystalline HoThPa2P4 at its relaxed geometry.

a = 6.948 Å, b = 4.020 Å, c = 6.962 Å
α = 90.00°, β = 109.53°, γ = 90.00°
Space group P2/m (No. 10)
One atom of each set of equivalent atoms:
Ho 0.000 0.000 0.000 x1
Th 0.000 0.500 0.500 x1
Pa 0.500 0.000 0.500 x1
Pa 0.500 0.500 0.000 x1
P 0.257 0.500 0.247 x2
P 0.259 0.000 0.759 x2

Its density of states at the Fermi level is 0.873 states/eV/atom. The density comes out at 8.91 g cm⁻³. As for the energy relative to the elements: -1.433 eV/atom. The spin magnetization is 0.00 μB per formula unit. The calculation puts the volume at 22.91 Å³/atom.



[10]
VASP calculation (GGA-PBE) on crystalline LiTcBi at its relaxed geometry.

a = 9.049 Å, b = 3.781 Å, c = 7.708 Å
α = 90.00°, β = 111.63°, γ = 90.00°
Space group C2/m (No. 12)
One atom of each set of equivalent atoms:
Li 0.000 0.000 0.000 x2
Li 0.000 0.000 0.500 x2
Tc 0.192 0.500 0.402 x4
Bi 0.157 0.500 0.784 x4

Its density of states at the Fermi level is 0.513 states/eV/atom. The density comes out at 8.50 g cm⁻³. For the energy relative to the lowest polymorph listed for this composition, the calculation gives 96 meV/atom. As for the energy relative to the elements: 0.138 eV/atom. The spin magnetization is 0.00 μB per formula unit. The calculation puts the volume at 20.43 Å³/atom.



[11]
VASP calculation (GGA-PBE) on crystalline KTbSm2Te4 at its relaxed geometry.

a = 7.855 Å, b = 4.444 Å, c = 7.867 Å
α = 90.00°, β = 108.46°, γ = 90.00°
Space group P2/m (No. 10)
One atom of each set of equivalent atoms:
K 0.000 0.000 0.000 x1
Tb 0.000 0.500 0.500 x1
Sm 0.500 0.000 0.500 x1
Sm 0.500 0.500 0.000 x1
Te 0.250 0.000 0.742 x2
Te 0.260 0.500 0.264 x2

Its density of states at the Fermi level is 0.417 states/eV/atom. Its uncorrected formation energy is -1.34 eV/atom. The density comes out at 6.43 g cm⁻³. The spin magnetization is 0.00 μB per formula unit. The calculation puts the volume at 32.56 Å³/atom.



[12]
VASP calculation (GGA-PBE) on crystalline MoPb3C at its relaxed geometry.

a = 5.380 Å, b = 5.380 Å, c = 5.380 Å
α = 90.00°, β = 90.00°, γ = 90.00°
Space group Pm-3m (No. 221)
One atom of each set of equivalent atoms:
Mo 0.000 0.000 0.000 x1
Pb 0.000 0.000 0.500 x3
C 0.500 0.500 0.500 x1

Its density of states at the Fermi level is 0.775 states/eV/atom. The density comes out at 7.78 g cm⁻³. For the energy relative to the lowest polymorph listed for this composition, the calculation gives 135 meV/atom. As for the energy relative to the elements: 1.674 eV/atom. The spin magnetization is 3.25 μB per formula unit. The calculation puts the volume at 31.15 Å³/atom.



[13]
VASP calculation (GGA-PBE) on crystalline CaMgI4 at its relaxed geometry.

a = 17.346 Å, b = 4.342 Å, c = 7.622 Å
α = 90.00°, β = 115.46°, γ = 90.00°
Space group C2/m (No. 12)
One atom of each set of equivalent atoms:
Ca 0.000 0.000 0.000 x2
Mg 0.000 0.500 0.500 x2
I 0.108 0.000 0.453 x4
I 0.112 0.500 0.924 x4

Its density of states at the Fermi level is 0.000 states/eV/atom. Its uncorrected formation energy is -1.32 eV/atom. The density comes out at 3.66 g cm⁻³. The spin magnetization is 0.00 μB per formula unit. The calculation puts the volume at 43.20 Å³/atom.



[14]
VASP calculation (GGA-PBE) on crystalline Nd4TlAu at its relaxed geometry.

a = 6.308 Å, b = 9.475 Å, c = 6.330 Å
α = 90.00°, β = 104.02°, γ = 90.00°
Space group P2_1/c (No. 14)
One atom of each set of equivalent atoms:
Nd 0.086 0.168 0.115 x4
Nd 0.401 0.655 0.927 x4
Tl 0.500 0.000 0.000 x2
Au 0.000 0.000 0.500 x2

Its density of states at the Fermi level is 1.077 states/eV/atom. The density comes out at 8.85 g cm⁻³. For the energy relative to the lowest polymorph listed for this composition, the calculation gives 134 meV/atom. As for the energy relative to the elements: -0.232 eV/atom. The spin magnetization is 0.00 μB per formula unit. The calculation puts the volume at 30.59 Å³/atom.



[15]
VASP calculation (GGA-PBE) on crystalline LiErSc2 at its relaxed geometry.

a = 3.3199 Å, b = 3.3199 Å, c = 31.7370 Å
α = 90.00°, β = 90.00°, γ = 120.00°
Space group R3m (No. 160, hexagonal axes)
One atom of each set of equivalent atoms:
Li 0.0000 0.0000 0.0000 x3
Er 0.0000 0.0000 0.1659 x3
Sc 0.0000 0.0000 0.5855 x3
Sc 0.0000 0.0000 0.7470 x3

Its density of states at the Fermi level is 1.377 states/eV/atom. The density comes out at 4.34 g cm⁻³. For the energy relative to the lowest polymorph listed for this composition, the calculation gives 25 meV/atom. As for the energy relative to the elements: 0.140 eV/atom. The spin magnetization is 0.00 μB per formula unit. The calculation puts the volume at 25.25 Å³/atom.



[16]
VASP calculation (GGA-PBE) on crystalline CdGa2Pd9 at its relaxed geometry.

a = 3.980 Å, b = 3.980 Å, c = 11.756 Å
α = 90.00°, β = 90.00°, γ = 90.00°
Space group P4/mmm (No. 123)
One atom of each set of equivalent atoms:
Cd 0.000 0.000 0.000 x1
Ga 0.000 0.000 0.336 x2
Pd 0.000 0.500 0.177 x4
Pd 0.000 0.500 0.500 x2
Pd 0.500 0.500 0.000 x1
Pd 0.500 0.500 0.339 x2

Its density of states at the Fermi level is 1.368 states/eV/atom. The density comes out at 10.78 g cm⁻³. As for the energy relative to the elements: -0.372 eV/atom. The spin magnetization is 0.00 μB per formula unit. The calculation puts the volume at 15.52 Å³/atom.